Computed, not measured: an optimized crystal structure of TbVN3 at the PBE level of DFT.

CIF file:
```
data_TbVN3
_chemical_formula_sum 'Tb2 V2 N6'
_cell_length_a 5.5803
_cell_length_b 3.6174
_cell_length_c 7.8129
_cell_angle_alpha 90.00
_cell_angle_beta 110.07
_cell_angle_gamma 90.00
_symmetry_space_group_name_H-M 'P 1 21/m 1'
_symmetry_Int_Tables_number 11
_symmetry_space_group_name_Hall '-P 2yb'
loop_
_atom_site_label
_atom_site_fract_x
_atom_site_fract_y
_atom_site_fract_z
_atom_site_occupancy
Tb1 0.2389 0.2500 0.1888 1
V1 0.1516 0.2500 0.6703 1
N1 0.0106 0.7500 0.6172 1
N2 0.0709 0.2500 0.8771 1
N3 0.4783 0.2500 0.7313 1
```

Summary:
Uncorrected formation energy (meV/atom): -832

***

Computed, not measured: an optimized crystal structure of AcAlZn2Pt4 at the PBE level of DFT.

CIF file:
```
data_AcAlZn2Pt4
_chemical_formula_sum 'Ac3 Al3 Zn6 Pt12'
_cell_length_a 4.3510
_cell_length_b 4.3510
_cell_length_c 26.9271
_cell_angle_alpha 90.00
_cell_angle_beta 90.00
_cell_angle_gamma 120.00
_symmetry_space_group_name_H-M 'R -3 m'
_symmetry_Int_Tables_number 166
_symmetry_space_group_name_Hall '-R 3 2"'
loop_
_atom_site_label
_atom_site_fract_x
_atom_site_fract_y
_atom_site_fract_z
_atom_site_occupancy
Ac1 0.0000 0.0000 0.0000 1
Al1 0.0000 0.0000 0.5000 1
Zn1 0.0000 0.0000 0.2384 1
Pt1 0.0000 0.0000 0.1359 1
Pt2 0.0000 0.0000 0.4067 1
```

Summary:
Energy relative to the elements (eV/f.u.): -6.67

***

Computed, not measured: an optimized crystal structure of RbSb2Se at the PBE level of DFT.

CIF file:
```
data_RbSb2Se
_chemical_formula_sum 'Rb2 Sb4 Se2'
_cell_length_a 6.6784
_cell_length_b 6.6054
_cell_length_c 7.6827
_cell_angle_alpha 90.00
_cell_angle_beta 93.88
_cell_angle_gamma 90.00
_symmetry_space_group_name_H-M 'P 1 m 1'
_symmetry_Int_Tables_number 6
_symmetry_space_group_name_Hall 'P -2y'
loop_
_atom_site_label
_atom_site_fract_x
_atom_site_fract_y
_atom_site_fract_z
_atom_site_occupancy
Rb1 0.0000 0.0000 0.0000 1
Rb2 0.4048 0.5000 0.7761 1
Sb1 0.5322 0.0000 0.5393 1
Sb2 0.7135 0.5000 0.2097 1
Sb3 0.8994 0.2244 0.4811 1
Se1 0.4900 0.0000 0.8657 1
Se2 0.9263 0.5000 0.9482 1
```

Summary:
Uncorrected formation energy (meV/atom): -402

***

Computed, not measured: an optimized crystal structure of SmDy4Th4 at the PBE level of DFT.

CIF file:
```
data_SmDy4Th4
_chemical_formula_sum 'Sm2 Dy8 Th8'
_cell_length_a 10.6978
_cell_length_b 10.6978
_cell_length_c 5.0502
_cell_angle_alpha 90.00
_cell_angle_beta 90.00
_cell_angle_gamma 90.00
_symmetry_space_group_name_H-M 'I 4/m m m'
_symmetry_Int_Tables_number 139
_symmetry_space_group_name_Hall '-I 4 2'
loop_
_atom_site_label
_atom_site_fract_x
_atom_site_fract_y
_atom_site_fract_z
_atom_site_occupancy
Sm1 0.0000 0.0000 0.0000 1
Dy1 0.1694 0.1694 0.5000 1
Th1 0.0000 0.3358 0.0000 1
```

Summary:
Energy relative to the elements (eV/f.u.): 0.35

***

Computed, not measured: an optimized crystal structure of CuGeI2N at the PBE level of DFT.

CIF file:
```
data_CuGeI2N
_chemical_formula_sum 'Cu1 Ge1 I2 N1'
_cell_length_a 5.6435
_cell_length_b 5.6435
_cell_length_c 3.7093
_cell_angle_alpha 90.00
_cell_angle_beta 90.00
_cell_angle_gamma 90.00
_symmetry_space_group_name_H-M 'P 4/m m m'
_symmetry_Int_Tables_number 123
_symmetry_space_group_name_Hall '-P 4 2'
loop_
_atom_site_label
_atom_site_fract_x
_atom_site_fract_y
_atom_site_fract_z
_atom_site_occupancy
Cu1 0.0000 0.0000 0.0000 1
Ge1 0.5000 0.5000 0.5000 1
I1 0.0000 0.5000 0.0000 1
N1 0.0000 0.0000 0.5000 1
```

Summary:
Uncorrected formation energy (meV/atom): 764
Energy above the most stable polymorph in this dataset (meV per atom): 0

***

Computed, not measured: an optimized crystal structure of LiHo3Ag2 at the PBE level of DFT.

CIF file:
```
data_LiHo3Ag2
_chemical_formula_sum 'Li2 Ho6 Ag4'
_cell_length_a 5.1030
_cell_length_b 15.4029
_cell_length_c 3.6486
_cell_angle_alpha 90.00
_cell_angle_beta 90.00
_cell_angle_gamma 90.00
_symmetry_space_group_name_H-M 'C m m m'
_symmetry_Int_Tables_number 65
_symmetry_space_group_name_Hall '-C 2 2'
loop_
_atom_site_label
_atom_site_fract_x
_atom_site_fract_y
_atom_site_fract_z
_atom_site_occupancy
Li1 0.0000 0.0000 0.0000 1
Ho1 0.0000 0.1703 0.5000 1
Ho2 0.0000 0.5000 0.5000 1
Ag1 0.0000 0.3401 0.0000 1
```

Summary:
Energy relative to the elements (eV/f.u.): -1.14
Energy above the most stable polymorph in this dataset (meV per atom): 0